SmDy7Y3: relaxed, PBE.

a = 8.6327 Å, b = 7.0588 Å, c = 7.0588 Å
α = 120.00°, β = 90.00°, γ = 90.00°
Fractional coordinates of all 11 atoms:
Sm 0.4442 0.3333 0.6667
Dy 0.1174 0.1679 0.8321
Dy 0.1174 0.1679 0.3359
Dy 0.1214 0.6667 0.3333
Dy 0.4485 0.8321 0.1679
Dy 0.4485 0.3359 0.1679
Dy 0.4485 0.8321 0.6641
Dy 0.1174 0.6641 0.8321
Y 0.7840 0.5003 0.4997
Y 0.7840 0.5003 0.0006
Y 0.7840 0.9994 0.4997

Calculated values
- Fermi-level density of states: 1.635 states/eV per atom
- Energy relative to the lowest polymorph listed for this composition: 43 meV/atom
- Total DFT energy (no corrections): -0.1811 Ha/atom
- SG: P3m1
- Formation energy from the elements: 18.6 kJ/mol of atoms